No. 1
YThTl3: optimized geometry, GGA-PBE.

a = 7.2676 Å, b = 7.2676 Å, c = 6.6136 Å
α = 90.00°, β = 90.00°, γ = 120.00°
Fractional coordinates of all 10 atoms:
1 Y 0.0000 0.0000 0.0000
2 Y 0.0000 0.0000 0.5000
3 Th 0.3333 0.6667 0.2500
4 Th 0.6667 0.3333 0.7500
5 Tl 0.1988 0.3976 0.7500
6 Tl 0.1988 0.8012 0.7500
7 Tl 0.3976 0.1988 0.2500
8 Tl 0.6024 0.8012 0.7500
9 Tl 0.8012 0.1988 0.2500
10 Tl 0.8012 0.6024 0.2500

formation energy from the elements	2.6	kJ per mole of atoms
crystal system	hexagonal
raw total energy	-4.17	eV/atom

=====

No. 2
YTh2Tl: optimized geometry, GGA-PBE.

a = 4.2518 Å, b = 4.2518 Å, c = 6.8990 Å
α = 90.00°, β = 90.00°, γ = 90.00°
Fractional coordinates of all 4 atoms:
1 Y 0.0000 0.0000 0.0000
2 Th 0.5000 0.5000 0.2669
3 Th 0.5000 0.5000 0.7331
4 Tl 0.0000 0.0000 0.5000

formation energy from the elements	2.3	kJ per mole of atoms
crystal system	tetragonal
raw total energy	-5.89	eV/atom
E above lowest polymorph	0.51	eV per formula unit

=====

No. 3
YTh5Tl4: optimized geometry, GGA-PBE.

a = 8.8969 Å, b = 8.8969 Å, c = 10.0442 Å
α = 97.15°, β = 97.15°, γ = 23.47°
Fractional coordinates of all 10 atoms:
1 Y 0.0000 0.0000 0.0000
2 Th 0.0000 0.0000 0.5000
3 Th 0.3139 0.3139 0.3989
4 Th 0.3451 0.3451 0.7691
5 Th 0.6549 0.6549 0.2309
6 Th 0.6861 0.6861 0.6011
7 Tl 0.1793 0.1793 0.9184
8 Tl 0.4644 0.4644 0.2315
9 Tl 0.5356 0.5356 0.7685
10 Tl 0.8207 0.8207 0.0816

formation energy from the elements	4.3	kJ per mole of atoms
crystal system	monoclinic
raw total energy	-5.26	eV/atom

=====

No. 4
Y2Th2Tl3: optimized geometry, GGA-PBE.

a = 16.3917 Å, b = 16.3917 Å, c = 3.5204 Å
α = 90.00°, β = 90.00°, γ = 167.56°
Fractional coordinates of all 7 atoms:
1 Y 0.0663 0.9337 0.0000
2 Y 0.9337 0.0663 0.0000
3 Th 0.2049 0.7951 0.0000
4 Th 0.7951 0.2049 0.0000
5 Tl 0.3665 0.6335 0.5000
6 Tl 0.5000 0.5000 0.5000
7 Tl 0.6335 0.3665 0.5000

formation energy from the elements	-14.0	kJ per mole of atoms
crystal system	orthorhombic
raw total energy	-5.13	eV/atom

=====

No. 5
Y2ThTl3: optimized geometry, GGA-PBE.

a = 3.5736 Å, b = 3.5736 Å, c = 13.1518 Å
α = 90.00°, β = 90.00°, γ = 90.00°
Fractional coordinates of all 6 atoms:
1 Y 0.0000 0.0000 0.1629
2 Y 0.0000 0.0000 0.8371
3 Th 0.0000 0.0000 0.5000
4 Tl 0.5000 0.5000 0.0000
5 Tl 0.5000 0.5000 0.3243
6 Tl 0.5000 0.5000 0.6757

formation energy from the elements	-28.5	kJ per mole of atoms
crystal system	tetragonal
raw total energy	-4.87	eV/atom

=====

No. 6
Y2ThTl9: optimized geometry, GGA-PBE.

a = 4.7847 Å, b = 4.7847 Å, c = 14.3438 Å
α = 90.00°, β = 90.00°, γ = 90.00°
Fractional coordinates of all 12 atoms:
1 Y 0.0000 0.0000 0.1662
2 Y 0.0000 0.0000 0.8338
3 Th 0.0000 0.0000 0.5000
4 Tl 0.0000 0.5000 0.0000
5 Tl 0.0000 0.5000 0.3294
6 Tl 0.0000 0.5000 0.6706
7 Tl 0.5000 0.0000 0.0000
8 Tl 0.5000 0.0000 0.3294
9 Tl 0.5000 0.0000 0.6706
10 Tl 0.5000 0.5000 0.1647
11 Tl 0.5000 0.5000 0.5000
12 Tl 0.5000 0.5000 0.8353

formation energy from the elements	-20.8	kJ per mole of atoms
crystal system	tetragonal
raw total energy	-3.69	eV/atom